Entry 1:
First-principles (PBE-GGA) data for crystalline CsTh2Se4 at its relaxed geometry, as listed in the Alexandria database.

Output
For the volume, the calculation gives 33.33 A^3/atom. As for the theoretical density: 6.50 Mg/m³. Its space group is No. 63. The uncorrected formation energy is -1.6329 eV/atom.

```
CsTh2Se4
1.0
2.176 -7.141 0.000
2.176 7.141 0.000
0.000 0.000 15.011
Cs Th Se
2 4 8
direct
0.111 0.889 0.750 Cs
0.889 0.111 0.250 Cs
0.371 0.629 0.564 Th
0.371 0.629 0.936 Th
0.629 0.371 0.064 Th
0.629 0.371 0.436 Th
0.000 0.000 0.000 Se
0.000 0.000 0.500 Se
0.263 0.737 0.102 Se
0.263 0.737 0.398 Se
0.414 0.586 0.750 Se
0.586 0.414 0.250 Se
0.737 0.263 0.602 Se
0.737 0.263 0.898 Se
```

Entry 2:
First-principles (PBE-GGA) data for crystalline Cs5ThSe4 at its relaxed geometry, as listed in the Alexandria database.

Output
For the volume, the calculation gives 49.54 A^3/atom. As for the theoretical density: 4.06 Mg/m³. Its space group is No. 12. The uncorrected formation energy is -1.2105 eV/atom.

```
Cs5ThSe4
1.0
10.759 -2.334 0.000
10.759 2.334 0.000
-1.649 0.000 9.864
Cs Th Se
5 1 4
direct
0.000 0.000 0.000 Cs
0.326 0.326 0.659 Cs
0.343 0.343 0.185 Cs
0.657 0.657 0.815 Cs
0.674 0.674 0.341 Cs
0.000 0.000 0.500 Th
0.136 0.136 0.564 Se
0.494 0.494 0.696 Se
0.506 0.506 0.304 Se
0.864 0.864 0.436 Se
```

Entry 3:
First-principles (PBE-GGA) data for crystalline CsTh2Se6 at its relaxed geometry, as listed in the Alexandria database.

Output
For the volume, the calculation gives 32.13 A^3/atom. As for the theoretical density: 6.15 Mg/m³. Its space group is No. 71. The uncorrected formation energy is -1.4806 eV/atom.

```
CsTh2Se6
1.0
-2.125 2.787 12.205
2.125 -2.787 12.205
2.125 2.787 -12.205
Cs Th Se
1 2 6
direct
0.000 0.000 0.000 Cs
0.184 0.184 0.000 Th
0.816 0.816 0.000 Th
0.132 0.384 0.748 Se
0.270 0.770 0.500 Se
0.364 0.616 0.748 Se
0.636 0.384 0.252 Se
0.730 0.230 0.500 Se
0.868 0.616 0.252 Se
```

Entry 4:
First-principles (PBE-GGA) data for crystalline CsThSe at its relaxed geometry, as listed in the Alexandria database.

Output
For the volume, the calculation gives 47.51 A^3/atom. As for the theoretical density: 5.17 Mg/m³. Its space group is No. 2. The uncorrected formation energy is -0.7962 eV/atom.

```
CsThSe
1.0
4.645 0.000 0.000
0.000 4.646 0.000
-0.286 -0.024 13.210
Cs Th Se
2 2 2
direct
0.232 0.249 0.201 Cs
0.768 0.751 0.799 Cs
0.250 0.750 0.500 Th
0.750 0.250 0.500 Th
0.260 0.251 0.659 Se
0.740 0.749 0.341 Se
```

Entry 5:
First-principles (PBE-GGA) data for crystalline Cs3Th3TiSe8 at its relaxed geometry, as listed in the Alexandria database.

Output
For the volume, the calculation gives 35.32 A^3/atom. As for the theoretical density: 5.56 Mg/m³. Its space group is No. 166. The uncorrected formation energy is -1.4860 eV/atom.

```
Cs3Th3TiSe8
1.0
4.201 2.426 8.666
-4.201 2.426 8.666
0.000 -4.851 8.666
Cs Th Ti Se
3 3 1 8
direct
0.000 0.500 0.500 Cs
0.500 0.000 0.500 Cs
0.500 0.500 0.000 Cs
0.000 0.000 0.500 Th
0.000 0.500 0.000 Th
0.500 0.000 0.000 Th
0.500 0.500 0.500 Ti
0.233 0.233 0.233 Se
0.242 0.719 0.719 Se
0.281 0.281 0.758 Se
0.281 0.758 0.281 Se
0.719 0.242 0.719 Se
0.719 0.719 0.242 Se
0.758 0.281 0.281 Se
0.767 0.767 0.767 Se
```

Entry 6:
First-principles (PBE-GGA) data for crystalline Cs3Th3TlSe8 at its relaxed geometry, as listed in the Alexandria database.

Output
For the volume, the calculation gives 38.17 A^3/atom. As for the theoretical density: 5.60 Mg/m³. Its space group is No. 166. The uncorrected formation energy is -1.4929 eV/atom.

```
Cs3Th3TlSe8
1.0
4.457 2.573 8.319
-4.457 2.573 8.319
0.000 -5.146 8.319
Cs Th Tl Se
3 3 1 8
direct
0.000 0.500 0.500 Cs
0.500 0.000 0.500 Cs
0.500 0.500 0.000 Cs
0.000 0.000 0.500 Th
0.000 0.500 0.000 Th
0.500 0.000 0.000 Th
0.500 0.500 0.500 Tl
0.195 0.746 0.746 Se
0.231 0.231 0.231 Se
0.254 0.254 0.805 Se
0.254 0.805 0.254 Se
0.746 0.195 0.746 Se
0.746 0.746 0.195 Se
0.769 0.769 0.769 Se
0.805 0.254 0.254 Se
```